Here is a relaxed SeS2I crystal from the Alexandria database. Energies are from PBE.

For the formation energy from raw total energies, the calculation gives 0.3745 eV per atom. As for the energy relative to the lowest polymorph listed for this composition: 0.000 eV/atom.

It has space group R-3m (No. 166, hexagonal axes), with a = 4.1259 Å, b = 4.1259 Å, c = 23.0614 Å, α = 90.00°, β = 90.00° and γ = 120.00°. Symmetry generates all atoms from Se at (0.0000, 0.0000, 0.0000), S at (0.0000, 0.0000, 0.3858) and I at (0.0000, 0.0000, 0.5000).


Here is a relaxed ScTi2Sn2 crystal from the Alexandria database. Energies are from PBE.

As for the energy relative to the lowest polymorph listed for this composition: 0.107 eV/atom.

It has space group P4/mbm (No. 127), with a = 8.218 Å, b = 8.218 Å, c = 3.075 Å, α = 90.00°, β = 90.00° and γ = 90.00°. Symmetry generates all atoms from Sc at (0.000, 0.000, 0.000), Ti at (0.114, 0.386, 0.000) and Sn at (0.181, 0.681, 0.500).


Here is a relaxed Ba7Na2Ca2 crystal from the Alexandria database. Energies are from PBE.

The final energy is -18.19 eV/f.u.

It has space group Cmmm (No. 65), with a = 7.914 Å, b = 14.308 Å, c = 11.131 Å, α = 90.00°, β = 90.00° and γ = 90.00°. Symmetry generates all atoms from Ba at (0.000, 0.000, 0.000), Ba at (0.000, 0.500, 0.188), Ba at (0.250, 0.250, 0.316), Na at (0.000, 0.272, 0.000) and Ca at (0.238, 0.000, 0.500).


Here is a relaxed Y6HgP3S2 crystal from the Alexandria database. Energies are from PBE.

For the formation energy from raw total energies, the calculation gives -1.5630 eV per atom.

It has space group C2/m (No. 12), with a = 17.521 Å, b = 3.998 Å, c = 8.143 Å, α = 90.00°, β = 102.53° and γ = 90.00°. Symmetry generates all atoms from Y at (0.002, 0.000, 0.273), Y at (0.165, 0.500, 0.591), Y at (0.175, 0.500, 0.088), Hg at (0.000, 0.500, 0.000), P at (0.000, 0.500, 0.500), P at (0.165, 0.000, 0.835) and S at (0.170, 0.000, 0.341).